Here is a relaxed structure of Tb4HoTm7 from Alexandria. Energies are from GGA-PBE.

Values from the calculation:
The calculation puts the total energy at -50.8 eV per cell. Its density is 8.6 g/cm3. For the total magnetic moment, the calculation gives 0.32 μB per cell. The calculation puts the energy of formation at 296 meV per atom. Its energy above the most stable polymorph in this dataset is 4.74 kcal/mol of atoms. Its symmetry is No. 12.

Cell: 5.786 11.427 6.647 Å, 83.66 64.20 75.33°
Fractional coordinates of all 12 atoms:
Tb 0.638 0.224 0.499
Tb 0.362 0.776 0.501
Tb 0.764 0.676 0.796
Tb 0.236 0.324 0.204
Ho 0.000 0.000 0.000
Tm 0.788 0.924 0.500
Tm 0.212 0.076 0.500
Tm 0.064 0.683 0.189
Tm 0.936 0.317 0.811
Tm 0.367 0.498 0.769
Tm 0.500 0.000 0.000
Tm 0.633 0.502 0.231